Entry 1:
Crystalline LiSmPd at its relaxed geometry. Source: the Alexandria database, functional GGA-PBE.

Output
DFT formation energy = -0.4294 eV/atom
Offset from the most stable computed form = 138 meV/atom

CIF file:
```
data_LiSmPd
_chemical_formula_sum 'Li1 Sm1 Pd1'
_cell_length_a 3.614
_cell_length_b 3.614
_cell_length_c 5.430
_cell_angle_alpha 109.44
_cell_angle_beta 109.44
_cell_angle_gamma 90.00
_symmetry_space_group_name_H-M 'P 1'
_symmetry_Int_Tables_number 1
_symmetry_space_group_name_Hall 'P 1'
loop_
_atom_site_label
_atom_site_type_symbol
_atom_site_fract_x
_atom_site_fract_y
_atom_site_fract_z
Sm1 Sm 0.937 0.937 0.874
Pd1 Pd 0.273 0.273 0.546
Li1 Li 0.640 0.640 0.280
```

---

Entry 2:
Crystalline SmTcO5 at its relaxed geometry. Source: the Alexandria database, functional GGA-PBE.

Output
Formation energy (no corrections) = -1.979 eV/atom

CIF file:
```
data_SmTcO5
_chemical_formula_sum 'Sm2 Tc2 O10'
_cell_length_a 5.587
_cell_length_b 5.587
_cell_length_c 7.623
_cell_angle_alpha 70.06
_cell_angle_beta 70.06
_cell_angle_gamma 70.57
_symmetry_space_group_name_H-M 'P 1'
_symmetry_Int_Tables_number 1
_symmetry_space_group_name_Hall 'P 1'
loop_
_atom_site_label
_atom_site_type_symbol
_atom_site_fract_x
_atom_site_fract_y
_atom_site_fract_z
Sm1 Sm 0.556 0.444 0.250
Sm2 Sm 0.444 0.556 0.750
Tc1 Tc 0.000 0.000 0.000
Tc2 Tc 0.000 0.000 0.500
O1 O 0.797 0.763 0.113
O2 O 0.276 0.700 0.463
O3 O 0.763 0.797 0.613
O4 O 0.930 0.070 0.250
O5 O 0.300 0.724 0.037
O6 O 0.700 0.276 0.963
O7 O 0.070 0.930 0.750
O8 O 0.237 0.203 0.387
O9 O 0.724 0.300 0.537
O10 O 0.203 0.237 0.887
```

---

Entry 3:
Crystalline CsKZn2Sb2 at its relaxed geometry. Source: the Alexandria database, functional GGA-PBE.

Output
Formation energy (no corrections) = -0.400 eV/atom

CIF file:
```
data_CsKZn2Sb2
_chemical_formula_sum 'Cs1 K1 Zn2 Sb2'
_cell_length_a 4.602
_cell_length_b 4.602
_cell_length_c 11.434
_cell_angle_alpha 90.00
_cell_angle_beta 90.00
_cell_angle_gamma 120.00
_symmetry_space_group_name_H-M 'P 1'
_symmetry_Int_Tables_number 1
_symmetry_space_group_name_Hall 'P 1'
loop_
_atom_site_label
_atom_site_type_symbol
_atom_site_fract_x
_atom_site_fract_y
_atom_site_fract_z
Cs1 Cs 0.000 0.000 0.000
K1 K 0.000 0.000 0.500
Zn1 Zn 0.333 0.667 0.730
Zn2 Zn 0.667 0.333 0.270
Sb1 Sb 0.333 0.667 0.266
Sb2 Sb 0.667 0.333 0.734
```

---

Entry 4:
Crystalline SmEuSn at its relaxed geometry. Source: the Alexandria database, functional GGA-PBE.

Output
DFT formation energy = -0.3902 eV/atom
Offset from the most stable computed form = 47 meV/atom

CIF file:
```
data_SmEuSn
_chemical_formula_sum 'Sm1 Eu1 Sn1'
_cell_length_a 3.787
_cell_length_b 5.319
_cell_length_c 5.319
_cell_angle_alpha 120.00
_cell_angle_beta 90.00
_cell_angle_gamma 90.00
_symmetry_space_group_name_H-M 'P 1'
_symmetry_Int_Tables_number 1
_symmetry_space_group_name_Hall 'P 1'
loop_
_atom_site_label
_atom_site_type_symbol
_atom_site_fract_x
_atom_site_fract_y
_atom_site_fract_z
Eu1 Eu 0.969 0.000 0.000
Sn1 Sn 0.640 0.667 0.333
Sm1 Sm 0.391 0.333 0.667
```

---

Entry 5:
Crystalline Ba3Tb2PmTe6 at its relaxed geometry. Source: the Alexandria database, functional GGA-PBE.

Output
Formation energy (no corrections) = -1.544 eV/atom

CIF file:
```
data_Ba3Tb2PmTe6
_chemical_formula_sum 'Ba3 Tb2 Pm1 Te6'
_cell_length_a 7.977
_cell_length_b 7.977
_cell_length_c 8.284
_cell_angle_alpha 99.26
_cell_angle_beta 99.26
_cell_angle_gamma 119.90
_symmetry_space_group_name_H-M 'P 1'
_symmetry_Int_Tables_number 1
_symmetry_space_group_name_Hall 'P 1'
loop_
_atom_site_label
_atom_site_type_symbol
_atom_site_fract_x
_atom_site_fract_y
_atom_site_fract_z
Ba1 Ba 0.165 0.835 0.500
Ba2 Ba 0.835 0.165 0.500
Ba3 Ba 0.500 0.500 0.500
Tb1 Tb 0.333 0.667 0.000
Tb2 Tb 0.667 0.333 0.000
Pm1 Pm 0.000 0.000 0.000
Te1 Te 0.927 0.589 0.781
Te2 Te 0.734 0.734 0.217
Te3 Te 0.073 0.411 0.219
Te4 Te 0.589 0.927 0.781
Te5 Te 0.266 0.266 0.783
Te6 Te 0.411 0.073 0.219
```

---

Entry 6:
Crystalline Cs3MgCu2Cl6 at its relaxed geometry. Source: the Alexandria database, functional GGA-PBE.

Output
Formation energy (no corrections) = -1.266 eV/atom

CIF file:
```
data_Cs3MgCu2Cl6
_chemical_formula_sum 'Cs3 Mg1 Cu2 Cl6'
_cell_length_a 7.434
_cell_length_b 7.434
_cell_length_c 8.808
_cell_angle_alpha 90.00
_cell_angle_beta 90.00
_cell_angle_gamma 120.00
_symmetry_space_group_name_H-M 'P 1'
_symmetry_Int_Tables_number 1
_symmetry_space_group_name_Hall 'P 1'
loop_
_atom_site_label
_atom_site_type_symbol
_atom_site_fract_x
_atom_site_fract_y
_atom_site_fract_z
Cs1 Cs 0.333 0.667 0.674
Cs2 Cs 0.667 0.333 0.326
Cs3 Cs 0.000 0.000 0.000
Mg1 Mg 0.000 0.000 0.500
Cu1 Cu 0.667 0.333 0.739
Cu2 Cu 0.333 0.667 0.261
Cl1 Cl 0.681 0.841 0.322
Cl2 Cl 0.159 0.319 0.322
Cl3 Cl 0.159 0.841 0.322
Cl4 Cl 0.841 0.681 0.678
Cl5 Cl 0.319 0.159 0.678
Cl6 Cl 0.841 0.159 0.678
```

---

Entry 7:
Crystalline TiRhC3 at its relaxed geometry. Source: the Alexandria database, functional GGA-PBE.

Output
DFT formation energy = 2.1277 eV/atom
Offset from the most stable computed form = 132 meV/atom

CIF file:
```
data_TiRhC3
_chemical_formula_sum 'Ti1 Rh1 C3'
_cell_length_a 3.967
_cell_length_b 3.967
_cell_length_c 3.967
_cell_angle_alpha 90.00
_cell_angle_beta 90.00
_cell_angle_gamma 90.00
_symmetry_space_group_name_H-M 'P 1'
_symmetry_Int_Tables_number 1
_symmetry_space_group_name_Hall 'P 1'
loop_
_atom_site_label
_atom_site_type_symbol
_atom_site_fract_x
_atom_site_fract_y
_atom_site_fract_z
C1 C 0.000 0.500 0.000
C2 C 0.000 0.000 0.500
C3 C 0.500 0.000 0.000
Rh1 Rh 0.500 0.500 0.500
Ti1 Ti 0.000 0.000 0.000
```

---

Entry 8:
Crystalline MnInCoRh at its relaxed geometry. Source: the Alexandria database, functional GGA-PBE.

Output
DFT formation energy = -0.1027 eV/atom

CIF file:
```
data_MnInCoRh
_chemical_formula_sum 'Mn1 In1 Co1 Rh1'
_cell_length_a 4.353
_cell_length_b 4.353
_cell_length_c 4.353
_cell_angle_alpha 60.00
_cell_angle_beta 60.00
_cell_angle_gamma 60.00
_symmetry_space_group_name_H-M 'P 1'
_symmetry_Int_Tables_number 1
_symmetry_space_group_name_Hall 'P 1'
loop_
_atom_site_label
_atom_site_type_symbol
_atom_site_fract_x
_atom_site_fract_y
_atom_site_fract_z
Co1 Co 0.250 0.250 0.250
Mn1 Mn 0.000 0.000 0.000
Rh1 Rh 0.750 0.750 0.750
In1 In 0.500 0.500 0.500
```

---

Raw total energy, record by record: -13.114, -107.463, -15.143, -20.167, -57.159, -38.620, -32.279, -26.776 eV for the cell shown